1) {
  "formula": "Fe2CoTc",
  "functional": "PBE",
  "state": "optimized geometry",
  "n_ef_per_ev_cell": 4.48,
  "magnetic_moment_mub_per_fu": 6.30,
  "crystal_system": "monoclinic",
  "density_g_cm3": 9.08,
  "lattice": [[-1.574, 2.631, 2.682], [-2.322, -0.770, -0.608], [-0.674, -3.644, 3.179]],
  "species": ["Co", "Fe", "Fe", "Tc"],
  "fractional_positions": [[0.500, 0.785, 0.760], [0.000, 0.008, 0.999], [0.500, 0.227, 0.244], [0.000, 0.480, 0.498]]
}

***

2) {
  "formula": "Fe2CoTc",
  "functional": "PBE",
  "state": "optimized geometry",
  "n_ef_per_ev_cell": 9.93,
  "magnetic_moment_mub_per_fu": 0.00,
  "crystal_system": "cubic",
  "density_g_cm3": 9.64,
  "lattice": [[0.000, 2.850, 2.850], [2.850, 0.000, 2.850], [2.850, 2.850, 0.000]],
  "species": ["Co", "Tc", "Fe", "Fe"],
  "fractional_positions": [[0.000, 0.000, 0.000], [0.500, 0.500, 0.500], [0.250, 0.250, 0.250], [0.750, 0.750, 0.750]]
}

***

Result of the stability comparison: 1) is the most stable of them.

***

1) {
  "formula": "Fe2CoTc",
  "functional": "PBE",
  "state": "optimized geometry",
  "n_ef_per_ev_cell": 10.41,
  "magnetic_moment_mub_per_fu": 2.19,
  "crystal_system": "tetragonal",
  "density_g_cm3": 8.82,
  "lattice": [[-2.667, -2.191, 0.467], [2.211, -2.691, 0.002], [0.633, -1.727, 8.495]],
  "species": ["Co", "Co", "Tc", "Tc", "Fe", "Fe", "Fe", "Fe"],
  "fractional_positions": [[0.500, 0.500, 0.000], [0.250, 0.750, 0.500], [0.000, 0.000, 0.000], [0.750, 0.250, 0.500], [0.601, 0.125, 0.250], [0.149, 0.625, 0.250], [0.375, 0.399, 0.750], [0.875, 0.851, 0.750]]
}

***

2) {
  "formula": "Fe2CoTc",
  "functional": "PBE",
  "state": "optimized geometry",
  "n_ef_per_ev_cell": 5.16,
  "magnetic_moment_mub_per_fu": 4.81,
  "crystal_system": "monoclinic",
  "density_g_cm3": 9.33,
  "lattice": [[-1.089, 0.181, -4.298], [-3.234, -0.457, -3.003], [-1.405, 4.193, -0.260]],
  "species": ["Co", "Fe", "Fe", "Tc"],
  "fractional_positions": [[0.250, 0.250, 0.250], [0.994, 0.994, 0.008], [0.506, 0.506, 0.492], [0.750, 0.750, 0.750]]
}

***

Result of the stability comparison: 2) is the most stable of them.

***

1) {
  "formula": "Fe2CoTc",
  "functional": "PBE",
  "state": "optimized geometry",
  "n_ef_per_ev_cell": 4.26,
  "magnetic_moment_mub_per_fu": 6.58,
  "crystal_system": "monoclinic",
  "density_g_cm3": 9.03,
  "lattice": [[-1.327, 3.009, 2.467], [-1.575, 0.781, -1.800], [-3.874, -2.656, 1.155]],
  "species": ["Co", "Fe", "Fe", "Tc"],
  "fractional_positions": [[0.500, 0.750, 0.750], [0.000, 0.982, 0.994], [0.000, 0.518, 0.506], [0.500, 0.250, 0.250]]
}

***

2) {
  "formula": "Fe2CoTc",
  "functional": "PBE",
  "state": "optimized geometry",
  "n_ef_per_ev_cell": 5.52,
  "magnetic_moment_mub_per_fu": 6.26,
  "crystal_system": "orthorhombic",
  "density_g_cm3": 9.12,
  "lattice": [[4.782, -0.008, 0.012], [2.101, 4.296, -0.012], [-2.985, -2.878, 2.383]],
  "species": ["Co", "Fe", "Fe", "Tc"],
  "fractional_positions": [[0.250, 0.750, 0.500], [0.005, 0.005, 0.000], [0.495, 0.495, 0.000], [0.750, 0.250, 0.500]]
}

***

3) {
  "formula": "Fe2CoTc",
  "functional": "PBE",
  "state": "optimized geometry",
  "n_ef_per_ev_cell": 5.02,
  "magnetic_moment_mub_per_fu": 6.02,
  "crystal_system": "orthorhombic",
  "density_g_cm3": 9.13,
  "lattice": [[-4.397, -1.919, 0.259], [-1.263, -1.935, 4.213], [1.419, 4.018, -2.220]],
  "species": ["Co", "Fe", "Fe", "Tc"],
  "fractional_positions": [[0.241, 0.741, 0.500], [0.996, 0.996, 0.000], [0.758, 0.258, 0.500], [0.505, 0.505, 0.000]]
}

***

Result of the stability comparison: 1) is the most stable of them.

***

1) {
  "formula": "Fe2CoTc",
  "functional": "PBE",
  "state": "optimized geometry",
  "n_ef_per_ev_cell": 3.32,
  "magnetic_moment_mub_per_fu": 6.07,
  "crystal_system": "tetragonal",
  "density_g_cm3": 9.19,
  "lattice": [[2.809, 0.000, 0.000], [0.000, 2.809, 0.000], [0.000, 0.000, 6.149]],
  "species": ["Co", "Fe", "Fe", "Tc"],
  "fractional_positions": [[0.500, 0.500, 0.772], [0.000, 0.000, 0.999], [0.500, 0.500, 0.235], [0.000, 0.000, 0.494]]
}

***

2) {
  "formula": "Fe2CoTc",
  "functional": "PBE",
  "state": "optimized geometry",
  "n_ef_per_ev_cell": 5.17,
  "magnetic_moment_mub_per_fu": 4.29,
  "crystal_system": "orthorhombic",
  "density_g_cm3": 9.35,
  "lattice": [[4.428, -0.022, 0.000], [-1.459, 4.181, 0.000], [0.000, 0.000, 2.582]],
  "species": ["Co", "Fe", "Fe", "Tc"],
  "fractional_positions": [[0.000, 0.500, 0.500], [0.000, 0.000, 0.000], [0.500, 0.500, 0.000], [0.500, 0.000, 0.500]]
}

***

3) {
  "formula": "Fe2CoTc",
  "functional": "PBE",
  "state": "optimized geometry",
  "n_ef_per_ev_cell": 4.44,
  "magnetic_moment_mub_per_fu": 5.67,
  "crystal_system": "tetragonal",
  "density_g_cm3": 9.20,
  "lattice": [[-0.697, 2.512, 0.334], [-0.960, 0.059, -2.446], [-6.265, -2.058, 2.409]],
  "species": ["Co", "Fe", "Fe", "Tc"],
  "fractional_positions": [[0.500, 0.500, 0.750], [0.000, 0.000, 0.982], [0.000, 0.000, 0.518], [0.500, 0.500, 0.250]]
}

***

4) {
  "formula": "Fe2CoTc",
  "functional": "PBE",
  "state": "optimized geometry",
  "n_ef_per_ev_cell": 5.59,
  "magnetic_moment_mub_per_fu": 3.54,
  "crystal_system": "tetragonal",
  "density_g_cm3": 9.50,
  "lattice": [[4.441, 0.084, 0.000], [1.461, 4.195, 0.000], [-2.951, -2.139, 2.539]],
  "species": ["Co", "Fe", "Fe", "Tc"],
  "fractional_positions": [[0.750, 0.250, 0.500], [0.000, 0.000, 0.000], [0.500, 0.500, 0.000], [0.250, 0.750, 0.500]]
}

***

Result of the stability comparison: 1) is the most stable of them.

***

1) {
  "formula": "FeCoTc",
  "functional": "PBE",
  "state": "optimized geometry",
  "n_ef_per_ev_cell": 3.73,
  "magnetic_moment_mub_per_fu": 2.19,
  "crystal_system": "orthorhombic",
  "density_g_cm3": 9.78,
  "lattice": [[-0.071, -2.109, -3.911], [0.054, -4.442, -0.112], [-2.119, 3.630, 1.443]],
  "species": ["Co", "Fe", "Tc"],
  "fractional_positions": [[0.998, 0.998, 0.000], [0.337, 0.337, 0.000], [0.666, 0.666, 0.000]]
}

***

2) {
  "formula": "FeCoTc",
  "functional": "PBE",
  "state": "optimized geometry",
  "n_ef_per_ev_cell": 3.20,
  "magnetic_moment_mub_per_fu": 2.92,
  "crystal_system": "tetragonal",
  "density_g_cm3": 9.62,
  "lattice": [[5.777, 0.007, 0.000], [4.613, 3.478, 0.000], [-5.195, -1.742, 1.831]],
  "species": ["Co", "Fe", "Tc"],
  "fractional_positions": [[0.997, 0.997, 0.000], [0.342, 0.342, 0.000], [0.661, 0.661, 0.000]]
}

***

3) {
  "formula": "FeCoTc",
  "functional": "PBE",
  "state": "optimized geometry",
  "n_ef_per_ev_cell": 1.79,
  "magnetic_moment_mub_per_fu": 2.60,
  "crystal_system": "hexagonal",
  "density_g_cm3": 9.74,
  "lattice": [[-1.934, 3.555, 0.393], [-2.130, -3.433, -0.462], [-0.052, -0.306, 2.515]],
  "species": ["Co", "Fe", "Tc"],
  "fractional_positions": [[0.000, 0.000, 0.167], [0.667, 0.333, 0.167], [0.333, 0.667, 0.667]]
}

***

4) {
  "formula": "FeCoTc",
  "functional": "PBE",
  "state": "optimized geometry",
  "n_ef_per_ev_cell": 4.53,
  "magnetic_moment_mub_per_fu": 3.27,
  "crystal_system": "trigonal",
  "density_g_cm3": 9.44,
  "lattice": [[-1.441, 1.237, -1.805], [-0.883, -2.213, 1.091], [-2.801, 3.351, 4.530]],
  "species": ["Co", "Fe", "Tc"],
  "fractional_positions": [[0.000, 0.000, 0.009], [0.667, 0.333, 0.322], [0.333, 0.667, 0.669]]
}

***

Result of the stability comparison: 3) is the most stable of them.

***

1) {
  "formula": "FeCoTe4",
  "functional": "PBE",
  "state": "optimized geometry",
  "n_ef_per_ev_cell": 5.10,
  "magnetic_moment_mub_per_fu": 1.27,
  "crystal_system": "monoclinic",
  "density_g_cm3": 7.37,
  "lattice": [[-3.045, 1.344, -1.686], [-3.117, -1.265, 4.621], [1.307, 6.001, 2.424]],
  "species": ["Fe", "Co", "Te", "Te", "Te", "Te"],
  "fractional_positions": [[0.000, 0.000, 0.000], [0.500, 0.000, 0.500], [0.000, 0.764, 0.665], [0.500, 0.243, 0.829], [0.500, 0.757, 0.171], [0.000, 0.236, 0.335]]
}

***

2) {
  "formula": "FeCoTe4",
  "functional": "PBE",
  "state": "optimized geometry",
  "n_ef_per_ev_cell": 8.86,
  "magnetic_moment_mub_per_fu": 6.00,
  "crystal_system": "cubic",
  "density_g_cm3": 6.06,
  "lattice": [[0.000, 4.409, 4.409], [4.409, 0.000, 4.409], [4.409, 4.409, 0.000]],
  "species": ["Fe", "Co", "Te", "Te", "Te", "Te"],
  "fractional_positions": [[0.000, 0.000, 0.000], [0.750, 0.750, 0.750], [0.874, 0.375, 0.375], [0.375, 0.375, 0.874], [0.375, 0.874, 0.375], [0.375, 0.375, 0.375]]
}

***

Result of the stability comparison: 1) is the most stable of them.

***

1) {
  "formula": "ThFeCo4",
  "functional": "PBE",
  "state": "optimized geometry",
  "n_ef_per_ev_cell": 8.44,
  "magnetic_moment_mub_per_fu": 7.05,
  "crystal_system": "hexagonal",
  "density_g_cm3": 10.12,
  "lattice": [[-3.829, -1.042, 0.185], [0.874, -3.772, -3.157], [1.306, -4.486, 1.770]],
  "species": ["Th", "Fe", "Co", "Co", "Co", "Co"],
  "fractional_positions": [[0.000, 0.000, 0.000], [0.000, 0.333, 0.333], [0.000, 0.667, 0.667], [0.500, 0.501, 0.501], [0.500, 0.501, 0.998], [0.500, 0.998, 0.501]]
}

***

2) {
  "formula": "ThFeCo4",
  "functional": "PBE",
  "state": "optimized geometry",
  "n_ef_per_ev_cell": 6.79,
  "magnetic_moment_mub_per_fu": 7.76,
  "crystal_system": "cubic",
  "density_g_cm3": 10.17,
  "lattice": [[-1.065, 0.126, -4.827], [2.170, -3.189, -3.094], [-2.641, -3.647, -2.045]],
  "species": ["Co", "Co", "Co", "Co", "Fe", "Th"],
  "fractional_positions": [[0.626, 0.626, 0.121], [0.626, 0.121, 0.626], [0.626, 0.626, 0.626], [0.121, 0.626, 0.626], [0.000, 0.000, 0.000], [0.250, 0.250, 0.250]]
}

***

Result of the stability comparison: 1) is the most stable of them.

***

1) {
  "formula": "TiFeCo",
  "functional": "PBE",
  "state": "optimized geometry",
  "n_ef_per_ev_cell": 14.76,
  "magnetic_moment_mub_per_fu": 2.16,
  "crystal_system": "orthorhombic",
  "density_g_cm3": 6.79,
  "lattice": [[-2.483, 1.231, 0.512], [-2.104, -2.525, -4.131], [-2.725, -8.142, 6.364]],
  "species": ["Ti", "Ti", "Ti", "Ti", "Fe", "Fe", "Fe", "Fe", "Co", "Co", "Co", "Co"],
  "fractional_positions": [[0.250, 0.055, 0.707], [0.250, 0.445, 0.207], [0.750, 0.945, 0.293], [0.750, 0.555, 0.793], [0.250, 0.500, 0.601], [0.250, 0.000, 0.101], [0.750, 0.500, 0.399], [0.750, 0.000, 0.899], [0.250, 0.341, 0.957], [0.250, 0.159, 0.457], [0.750, 0.659, 0.043], [0.750, 0.841, 0.543]]
}

***

2) {
  "formula": "TiFeCo",
  "functional": "PBE",
  "state": "optimized geometry",
  "n_ef_per_ev_cell": 4.10,
  "magnetic_moment_mub_per_fu": 0.83,
  "crystal_system": "hexagonal",
  "density_g_cm3": 7.13,
  "lattice": [[2.811, 0.000, 0.000], [0.000, 3.945, 0.000], [0.000, -1.973, 3.417]],
  "species": ["Co", "Fe", "Ti"],
  "fractional_positions": [[0.167, 0.000, 0.000], [0.167, 0.667, 0.333], [0.667, 0.333, 0.667]]
}

***

Result of the stability comparison: 2) is the most stable of them.